Crystalline Be2AgBr at its relaxed geometry. Source: Alexandria, functional PBE.

```
data_Be2AgBr
_chemical_formula_sum 'Be4 Ag2 Br2'
_space_group_name_H-M_alt 'C m m m'
_space_group_IT_number 65
_space_group_name_Hall '-C 2 2'
_cell_length_a 5.4622
_cell_length_b 7.4870
_cell_length_c 3.0979
_cell_angle_alpha 90.00
_cell_angle_beta 90.00
_cell_angle_gamma 90.00
loop_
_atom_site_label
_atom_site_fract_x
_atom_site_fract_y
_atom_site_fract_z
Be1 0.2500 0.2500 0.0000
Ag1 0.0000 0.0000 0.5000
Br1 0.0000 0.5000 0.5000
```

- total magnetic moment (μB/atom) = 0.00
- N(E_F) (states/eV/f.u.) = 0.51
- formation energy (no corrections) (eV per atom) = 0.7105